! KScBe2 PBE-GGA relaxed; values from VASP
! relative energy among the computed polymorphs	396	meV/atom
! DOS(E_F)	2.04	states/eV/f.u.
! E_tot	-2.928	eV per atom
! ρ	2.1	g/cm³
! total moment	0.00	μB/atom
! ΔH_f (0 K)	0.79	eV/atom
&SYSTEM
  ibrav = 0, nat = 4, ntyp = 3
/
ATOMIC_SPECIES
K 39.10 K.upf
Sc 44.96 Sc.upf
Be 9.01 Be.upf
CELL_PARAMETERS angstrom
5.1344 0.0000 0.0000
0.0000 5.1344 0.0000
0.0000 0.0000 3.0422
ATOMIC_POSITIONS angstrom
K 0.0000 0.0000 0.0000
Sc 2.5672 2.5672 0.0000
Be 0.0000 2.5672 1.5211
Be 2.5672 0.0000 1.5211